(w)
The following is a DFT calculation (PBE) of crystalline MnBeP at its relaxed geometry.

Cell lengths 4.0741, 4.0741, 4.0741 Å; angles 138.86, 138.86, 59.59 degrees
Closest atoms and distances in Å follow each position.
Atoms (fractional coordinates):
P 0.6696 0.6696 0.0000  5 Mn 2.32-2.40, 5 Be 2.34-2.35
Mn 0.3300 0.3300 0.0000  5 P 2.32-2.40, 5 Be 2.33-2.36
Be 0.0005 0.0005 0.0000  5 Mn 2.33-2.36, 5 P 2.34-2.35

## Properties
Its magnetic moment is 0.00 μB/cell.


(x)
The following is a DFT calculation (PBE) of crystalline MnBeP at its relaxed geometry.

Cell lengths 3.6693, 3.6693, 3.6693 Å; angles 60.00, 60.00, 60.00 degrees
Closest atoms and distances in Å follow each position.
Atoms (fractional coordinates):
P 0.0000 0.0000 0.0000  4 Mn 2.25
Mn 0.7500 0.7500 0.7500  4 Be 2.25, 4 P 2.25
Be 0.5000 0.5000 0.5000  4 Mn 2.25

## Properties
Its magnetic moment is 0.23 μB/cell.


(w) is preferred energetically. Next in line: 43.7 kJ/mol of atoms higher.


(w)
The following is a DFT calculation (PBE) of crystalline MnBeP at its relaxed geometry.

Cell lengths 3.6462, 3.6462, 3.6462 Å; angles 60.00, 60.00, 60.00 degrees
Closest atoms and distances in Å follow each position.
Atoms (fractional coordinates):
P 0.7500 0.7500 0.7500  4 Be 2.23, 4 Mn 2.23
Mn 0.5000 0.5000 0.5000  4 P 2.23
Be 0.0000 0.0000 0.0000  4 P 2.23

## Properties
Its magnetic moment is 0.00 μB/cell.


(x)
The following is a DFT calculation (PBE) of crystalline MnBeP at its relaxed geometry.

Cell lengths 4.6266, 6.4690, 6.4436 Å; angles 50.19, 66.78, 67.24 degrees
Closest atoms and distances in Å follow each position.
Atoms (fractional coordinates):
Mn 0.2194 0.6520 0.8988  3 P 2.23-2.24, 3 Be 2.30-2.39
Mn 0.7808 0.8477 0.6013  3 P 2.23-2.24, 3 Be 2.30-2.39
Mn 0.7806 0.3480 0.1012  3 P 2.23-2.24, 3 Be 2.30-2.39
Mn 0.2192 0.1523 0.3987  3 P 2.23-2.24, 3 Be 2.30-2.39
P 0.1659 0.4707 0.7188  3 Mn 2.23-2.24, 4 Be 2.24-2.39
P 0.1657 0.9710 0.2187  3 Mn 2.23-2.24, 4 Be 2.24-2.39
P 0.8341 0.5293 0.2812  3 Mn 2.23-2.24, 4 Be 2.24-2.39
P 0.8343 0.0290 0.7813  3 Mn 2.23-2.24, 4 Be 2.24-2.39
Be 0.6633 0.4582 0.7073  4 P 2.24-2.39, 3 Mn 2.30-2.39
Be 0.6629 0.9589 0.2069  4 P 2.24-2.39, 3 Mn 2.30-2.39
Be 0.3367 0.5418 0.2927  4 P 2.24-2.39, 3 Mn 2.30-2.39
Be 0.3371 0.0411 0.7931  4 P 2.24-2.39, 3 Mn 2.30-2.39

## Properties
Its magnetic moment is 0.00 μB/cell.


(w) is preferred energetically. Next in line: 1.6 kJ/mol of atoms higher.